The following is a GGA-PBE calculation of an optimized crystal structure of La3InNiS7, from OQMD via LeMat-Bulk.

- Magnetization: 2.00 μB per formula unit
- Raw total energy: -140.3 eV per cell

Lattice parameters (Å, degrees): 10.0966 10.0966 6.3671 90.00 90.00 120.00
Space group P6_3 (No. 173)
Unique sites:
La: 0.1506 0.7787 0.0000 (multiplicity 6)
In: 0.3333 0.6667 0.5701 (multiplicity 2)
Ni: 0.0000 0.0000 0.1791 (multiplicity 2)
S: 0.0797 0.5136 0.7381 (multiplicity 6)
S: 0.0913 0.8720 0.4164 (multiplicity 6)
S: 0.3333 0.6667 0.1907 (multiplicity 2)